{
  "formula": "ZnSN",
  "functional": "PBE",
  "state": "optimized geometry",
  "dft_energy_ev_per_atom": -4.95,
  "space_group": "Immm (71)",
  "polymorph_energy_ev_per_fu": 0.00,
  "raw_formation_energy_mev_per_atom": -372,
  "lattice": [[-1.9934, 2.0500, 9.7632], [1.9934, -2.0500, 9.7632], [1.9934, 2.0500, -9.7632]],
  "species": ["Zn", "Zn", "S", "S", "N", "N"],
  "fractional_positions": [[0.2488, 0.2488, 0.0000], [0.7512, 0.7512, 0.0000], [0.3177, 0.8177, 0.5000], [0.6823, 0.1823, 0.5000], [0.3643, 0.5000, 0.8643], [0.6357, 0.5000, 0.1357]]
}

***

{
  "formula": "ZnSN2",
  "functional": "PBE",
  "state": "optimized geometry",
  "dft_energy_ev_per_atom": -4.56,
  "space_group": "I-42d (122)",
  "polymorph_energy_ev_per_fu": 0.62,
  "raw_formation_energy_mev_per_atom": 952,
  "lattice": [[-2.1998, 2.1998, 4.9751], [2.1998, -2.1998, 4.9751], [2.1998, 2.1998, -4.9751]],
  "species": ["Zn", "Zn", "S", "S", "N", "N", "N", "N"],
  "fractional_positions": [[0.0000, 0.0000, 0.0000], [0.7500, 0.2500, 0.5000], [0.2500, 0.7500, 0.5000], [0.5000, 0.5000, 0.0000], [0.1622, 0.6250, 0.0372], [0.3750, 0.4122, 0.5372], [0.5878, 0.1250, 0.9628], [0.8750, 0.8378, 0.4628]]
}

***

{
  "formula": "ZnS2N",
  "functional": "PBE",
  "state": "optimized geometry",
  "dft_energy_ev_per_atom": -2.99,
  "space_group": "Fm-3m (225)",
  "polymorph_energy_ev_per_fu": 4.45,
  "raw_formation_energy_mev_per_atom": 1478,
  "lattice": [[0.0000, 3.0411, 3.0411], [3.0411, 0.0000, 3.0411], [3.0411, 3.0411, 0.0000]],
  "species": ["Zn", "S", "S", "N"],
  "fractional_positions": [[0.0000, 0.0000, 0.0000], [0.2500, 0.2500, 0.2500], [0.7500, 0.7500, 0.7500], [0.5000, 0.5000, 0.5000]]
}

***

{
  "formula": "ZnS2N",
  "functional": "PBE",
  "state": "optimized geometry",
  "dft_energy_ev_per_atom": -3.77,
  "space_group": "I-42d (122)",
  "polymorph_energy_ev_per_fu": 1.31,
  "raw_formation_energy_mev_per_atom": 693,
  "lattice": [[-2.4189, 2.4189, 5.6913], [2.4189, -2.4189, 5.6913], [2.4189, 2.4189, -5.6913]],
  "species": ["Zn", "Zn", "S", "S", "S", "S", "N", "N"],
  "fractional_positions": [[0.0000, 0.0000, 0.0000], [0.7500, 0.2500, 0.5000], [0.1896, 0.6250, 0.0646], [0.3750, 0.4396, 0.5646], [0.5604, 0.1250, 0.9354], [0.8750, 0.8104, 0.4354], [0.2500, 0.7500, 0.5000], [0.5000, 0.5000, 0.0000]]
}

***

{
  "formula": "Zn3SN",
  "functional": "PBE",
  "state": "optimized geometry",
  "dft_energy_ev_per_atom": -3.37,
  "space_group": "C2/c (15)",
  "polymorph_energy_ev_per_fu": 0.00,
  "raw_formation_energy_mev_per_atom": -110,
  "lattice": [[5.6896, -4.9967, 0.0000], [5.6896, 4.9967, 0.0000], [-0.0066, 0.0000, 6.3319]],
  "species": ["Zn", "Zn", "Zn", "Zn", "Zn", "Zn", "Zn", "Zn", "Zn", "Zn", "Zn", "Zn", "S", "S", "S", "S", "N", "N", "N", "N"],
  "fractional_positions": [[0.1100, 0.6119, 0.4995], [0.1181, 0.6206, 0.9999], [0.2439, 0.2590, 0.3076], [0.2590, 0.2439, 0.8076], [0.3794, 0.8819, 0.5001], [0.3881, 0.8900, 0.0005], [0.6119, 0.1100, 0.9995], [0.6206, 0.1181, 0.4999], [0.7410, 0.7561, 0.1924], [0.7561, 0.7410, 0.6924], [0.8819, 0.3794, 0.0001], [0.8900, 0.3881, 0.5005], [0.1509, 0.8491, 0.2500], [0.3464, 0.6536, 0.7500], [0.6536, 0.3464, 0.2500], [0.8491, 0.1509, 0.7500], [0.1499, 0.3522, 0.0515], [0.3522, 0.1499, 0.5515], [0.6478, 0.8501, 0.4485], [0.8501, 0.6478, 0.9485]]
}

***

{
  "formula": "ZnSN2",
  "functional": "PBE",
  "state": "optimized geometry",
  "dft_energy_ev_per_atom": -4.72,
  "space_group": "R-3m (166)",
  "polymorph_energy_ev_per_fu": 0.00,
  "raw_formation_energy_mev_per_atom": 797,
  "lattice": [[1.6109, 0.9300, 5.4296], [-1.6109, 0.9300, 5.4296], [0.0000, -1.8601, 5.4296]],
  "species": ["Zn", "S", "N", "N"],
  "fractional_positions": [[0.0000, 0.0000, 0.0000], [0.5000, 0.5000, 0.5000], [0.4013, 0.4013, 0.4013], [0.5987, 0.5987, 0.5987]]
}

***

Question: Number 4 is which compound?
Answer: ZnS2N